(1)
! Ta2CrIr, optimized geometry, DFT GGA-PBE; values from VASP
&SYSTEM
  ibrav = 0, nat = 4, ntyp = 3
/
ATOMIC_SPECIES
Ta 180.95 Ta.upf
Cr 52.00 Cr.upf
Ir 192.22 Ir.upf
CELL_PARAMETERS angstrom
2.779 0.000 0.000
0.000 2.779 0.000
0.000 0.000 8.210
ATOMIC_POSITIONS crystal
Ta 0.000 0.000 0.982
Ta 0.500 0.500 0.269
Cr 0.000 0.000 0.526
Ir 0.500 0.500 0.723
! - VASP energy: -0.782 Ry/atom
! - DOS at the Fermi energy: 4.10 states/eV/cell
! - Energy of formation: -35 kJ/mol of formula units
! - Theoretical density: 15873 kg/m³

=====

(2)
! MgAg2, optimized geometry, DFT GGA-PBE; values from VASP
&SYSTEM
  ibrav = 0, nat = 6, ntyp = 2
/
ATOMIC_SPECIES
Mg 24.30 Mg.upf
Ag 107.87 Ag.upf
CELL_PARAMETERS angstrom
-0.942 -2.971 -0.613
4.832 0.689 -2.534
1.591 -1.832 6.428
ATOMIC_POSITIONS crystal
Mg 0.039 0.077 0.583
Mg 0.723 0.445 0.944
Ag 0.384 0.768 0.263
Ag 0.335 0.670 0.685
Ag 0.012 0.024 0.008
Ag 0.674 0.349 0.351
! - VASP energy: -0.188 Ry/atom
! - DOS at the Fermi energy: 1.87 states/eV/cell
! - Energy of formation: -35 kJ/mol of formula units
! - Theoretical density: 7212 kg/m³
! - Energy relative to the lowest polymorph listed for this composition: 57.0 meV/atom

=====

(3)
! Li5Te, optimized geometry, DFT GGA-PBE; values from VASP
&SYSTEM
  ibrav = 0, nat = 6, ntyp = 2
/
ATOMIC_SPECIES
Li 6.94 Li.upf
Te 127.60 Te.upf
CELL_PARAMETERS angstrom
3.822 0.000 0.000
0.000 3.822 0.000
0.000 0.000 8.910
ATOMIC_POSITIONS crystal
Li 0.000 0.000 0.500
Li 0.500 0.500 0.680
Li 0.000 0.000 0.858
Li 0.000 0.000 0.142
Li 0.500 0.500 0.320
Te 0.500 0.500 0.000
! - VASP energy: -0.180 Ry/atom
! - Uncorrected formation energy: -0.325 eV/atom
! - DOS at the Fermi energy: 2.66 states/eV/cell
! - Theoretical density: 2071 kg/m³
! - Energy relative to the lowest polymorph listed for this composition: 139.6 meV/atom

=====

Look up the DOS at the Fermi energy of the first one. 4.10 states/eV/cell